Crystalline KNb2Rh at its relaxed geometry. Source: Alexandria, functional PBE.

Calculated formation energy (kJ per mole of atoms): 120
E above lowest polymorph (kJ/mol of formula units): 88
Density (kg/m3): 5472

a b c (Å): 4.6147 4.6147 18.6868
angles (deg): 90.00 90.00 90.00
Last column: nearest neighbours and their distance in Å.
Space group I-42d (No. 122)
One atom of each set of equivalent atoms:
K 0.0000 0.0000 0.0000 (multiplicity 4)  4 Nb 3.14, 4 Rh 3.26
Nb 0.1195 0.2500 0.6250 (multiplicity 8)  2 Nb 2.56, 2 Rh 2.66
Rh 0.0000 0.0000 0.5000 (multiplicity 4)  4 Nb 2.66

---

Crystalline YFeCu2 at its relaxed geometry. Source: Alexandria, functional PBE.

Calculated formation energy (kJ per mole of atoms): 17
Density (kg/m3): 6759

a b c (Å): 3.9647 3.0954 10.8849
angles (deg): 90.00 90.00 90.00
Last column: nearest neighbours and their distance in Å.
Space group Amm2 (No. 38)
One atom of each set of equivalent atoms:
Y 0.0000 0.0000 0.0000 (multiplicity 2)  5 Cu 2.73-2.86
Fe 0.5000 0.0000 0.3226 (multiplicity 2)  6 Cu 2.64-2.65
Cu 0.0000 0.0000 0.7493 (multiplicity 2)  2 Cu 2.40, 4 Fe 2.64
Cu 0.5000 0.0000 0.6255 (multiplicity 2)  2 Cu 2.40, 2 Fe 2.65

---

Crystalline Pr2Sm3Cd6 at its relaxed geometry. Source: Alexandria, functional PBE.

Calculated formation energy (kJ per mole of atoms): 8
Density (kg/m3): 6390

a b c (Å): 5.0552 5.0552 28.6222
angles (deg): 90.00 90.00 90.00
Last column: nearest neighbours and their distance in Å.
Space group I4/mmm (No. 139)
One atom of each set of equivalent atoms:
Pr 0.0000 0.0000 0.1359 (multiplicity 4)  5 Cd 3.25-3.30, 4 Sm 3.57
Sm 0.0000 0.0000 0.3646 (multiplicity 4)  5 Cd 3.24-3.25, 4 Pr 3.57
Sm 0.0000 0.0000 0.5000 (multiplicity 2)  8 Cd 3.13
Cd 0.0000 0.0000 0.2510 (multiplicity 4)  1 Sm 3.25, 1 Pr 3.30, 4 Cd 3.58
Cd 0.0000 0.5000 0.0648 (multiplicity 8)  4 Sm 3.13-3.24, 2 Pr 3.25

---

Crystalline AlSe2F at its relaxed geometry. Source: Alexandria, functional PBE.

E above lowest polymorph (kJ/mol of formula units): 245
Density (kg/m3): 4993

a b c (Å): 2.9201 2.9201 27.5456
angles (deg): 90.00 90.00 120.00
Last column: nearest neighbours and their distance in Å.
Space group R-3m (No. 166, hexagonal axes)
One atom of each set of equivalent atoms:
Al 0.0000 0.0000 0.0000 (multiplicity 3)  2 Se 2.55
Se 0.0000 0.0000 0.0926 (multiplicity 6)  1 Al 2.55, 3 F 2.65
F 0.0000 0.0000 0.5000 (multiplicity 3)  6 Se 2.65, 6 F 2.92

---

Crystalline RbBa2ZnF8 at its relaxed geometry. Source: Alexandria, functional PBE.

VASP energy (Ry/atom): -0.34381
Density (kg/m3): 4310

a b c (Å): 4.5769 8.5806 5.7397
angles (deg): 90.00 99.22 90.00
Last column: nearest neighbours and their distance in Å.
Space group P2/m (No. 10)
One atom of each set of equivalent atoms:
Rb 0.0000 0.0000 0.0000 (multiplicity 1)  8 F 2.78-3.05
Ba 0.5000 0.2640 0.5000 (multiplicity 2)  8 F 2.63-2.83
Zn 0.0000 0.5000 0.0000 (multiplicity 1)  6 F 1.94-2.11
F 0.0652 0.3160 0.7706 (multiplicity 4)  1 Zn 2.11
F 0.3846 0.5000 0.1993 (multiplicity 2)  1 Zn 1.94
F 0.4425 0.0000 0.7210 (multiplicity 2)  2 Ba 2.63, 1 F 2.67, 2 Rb 2.78-2.79

---

Crystalline NdDy3Al at its relaxed geometry. Source: Alexandria, functional PBE.

Calculated formation energy (kJ per mole of atoms): -13
E above lowest polymorph (kJ/mol of formula units): 0
Density (kg/m3): 7461

a b c (Å): 19.0415 3.6785 8.6466
angles (deg): 90.00 104.46 90.00
Last column: nearest neighbours and their distance in Å.
Space group C2/m (No. 12)
One atom of each set of equivalent atoms:
Nd 0.1013 0.0000 0.0494 (multiplicity 4)  9 Dy 3.48-3.71, 3 Nd 3.68-3.74
Dy 0.9997 0.5000 0.2880 (multiplicity 4)  4 Al 3.11-3.17, 1 Dy 3.41
Dy 0.1843 0.5000 0.3871 (multiplicity 4)  2 Al 3.11, 3 Dy 3.32-3.41, 2 Nd 3.48
Dy 0.1981 0.5000 0.8094 (multiplicity 4)  2 Al 3.13
Al 0.0954 0.0000 0.5578 (multiplicity 4)  8 Dy 3.11-3.17

---

Crystalline Mg3Hg5 at its relaxed geometry. Source: Alexandria, functional PBE.

Calculated formation energy (kJ per mole of atoms): -10
E above lowest polymorph (kJ/mol of formula units): 28
Density (kg/m3): 9515

a b c (Å): 8.7369 8.7369 5.6817
angles (deg): 90.00 90.00 120.00
Last column: nearest neighbours and their distance in Å.
Space group P6_3/mcm (No. 193)
One atom of each set of equivalent atoms:
Mg 0.0000 0.3927 0.2500 (multiplicity 6)  9 Hg 2.99-3.25
Hg 0.0000 0.2350 0.7500 (multiplicity 6)  5 Mg 2.99-3.25
Hg 0.3333 0.6667 0.0000 (multiplicity 4)  2 Hg 2.84, 6 Mg 3.04

---

Crystalline RbSi2Pt at its relaxed geometry. Source: Alexandria, functional PBE.

E above lowest polymorph (kJ/mol of formula units): 2
Density (kg/m3): 4780

a b c (Å): 4.1348 4.1348 23.7024
angles (deg): 90.00 90.00 120.00
Last column: nearest neighbours and their distance in Å.
Space group R-3m (No. 166, hexagonal axes)
One atom of each set of equivalent atoms:
Rb 0.0000 0.0000 0.0000 (multiplicity 3)  2 Si 3.30
Si 0.0000 0.0000 0.1392 (multiplicity 6)  3 Pt 2.47, 3 Si 2.72
Pt 0.0000 0.0000 0.5000 (multiplicity 3)  6 Si 2.47

---

Number 1 is which compound? KNb2Rh

---

Number 1 is which compound? KNb2Rh

---

Among the records above, which one has the highest density? Mg3Hg5

---

Which value of density does entry 6 give? 7461 kg/m3